Crystalline Y2HoGa at its relaxed geometry, computed with PBE.

Computed properties:
Volume, Å³ per cell: 346.7
Energy relative to the lowest polymorph listed for this composition, eV/f.u.: 0.36
ΔE_f, kcal/mol of atoms: -4.8
Calculated density, g/cm³: 5.93

Geometry as CIF:
```
data_Y2HoGa
_chemical_formula_sum 'Y6 Ho3 Ga3'
_space_group_name_H-M_alt 'R 3 m'
_space_group_IT_number 160
_space_group_name_Hall 'R 3 -2"'
_cell_length_a 3.6264
_cell_length_b 3.6264
_cell_length_c 30.4380
_cell_angle_alpha 90.00
_cell_angle_beta 90.00
_cell_angle_gamma 120.00
loop_
_atom_site_label
_atom_site_fract_x
_atom_site_fract_y
_atom_site_fract_z
Y1 0.0000 0.0000 0.0000
Y2 0.0000 0.0000 0.1911
Ho1 0.0000 0.0000 0.4292
Ga1 0.0000 0.0000 0.5952
```

***

Crystalline Y3HoGa at its relaxed geometry, computed with PBE.

Computed properties:
Volume, Å³ per cell: 624.4
ΔE_f, kcal/mol of atoms: -2.2
Calculated density, g/cm³: 5.33

Geometry as CIF:
```
data_Y3HoGa
_chemical_formula_sum 'Y12 Ho4 Ga4'
_space_group_name_H-M_alt 'C 1 2/m 1'
_space_group_IT_number 12
_cell_length_a 11.864
_cell_length_b 8.953
_cell_length_c 7.726
_cell_angle_alpha 90.00
_cell_angle_beta 130.46
_cell_angle_gamma 90.00
loop_
_space_group_symop_operation_xyz
'x,y,z'
'-x,-y,-z'
'-x,y,-z'
'x,-y,z'
'x+1/2,y+1/2,z'
'-x+1/2,-y+1/2,-z'
'-x+1/2,y+1/2,-z'
'x+1/2,-y+1/2,z'
loop_
_atom_site_label
_atom_site_fract_x
_atom_site_fract_y
_atom_site_fract_z
Y1 0.054 0.000 0.328
Y2 0.220 0.308 0.754
Ho1 0.067 0.500 0.267
Ga1 0.245 0.500 0.115
```

***

Crystalline Y2HoGa2 at its relaxed geometry, computed with PBE.

Computed properties:
Volume, Å³ per cell: 253.4
Energy relative to the lowest polymorph listed for this composition, eV/f.u.: 0.00
ΔE_f, kcal/mol of atoms: -12.6
Calculated density, g/cm³: 6.32

Geometry as CIF:
```
data_Y2HoGa2
_chemical_formula_sum 'Y4 Ho2 Ga4'
_space_group_name_H-M_alt 'P 4/m b m'
_space_group_IT_number 127
_space_group_name_Hall '-P 4 2ab'
_cell_length_a 7.665
_cell_length_b 7.665
_cell_length_c 4.312
_cell_angle_alpha 90.00
_cell_angle_beta 90.00
_cell_angle_gamma 90.00
loop_
_atom_site_label
_atom_site_fract_x
_atom_site_fract_y
_atom_site_fract_z
Y1 0.175 0.325 0.000
Ho1 0.000 0.000 0.500
Ga1 0.120 0.620 0.500
```

***

Crystalline YHo2Ga2 at its relaxed geometry, computed with PBE.

Computed properties:
Volume, Å³ per cell: 260.6
Energy relative to the lowest polymorph listed for this composition, eV/f.u.: 0.69
ΔE_f, kcal/mol of atoms: -8.9
Calculated density, g/cm³: 7.11

Geometry as CIF:
```
data_YHo2Ga2
_chemical_formula_sum 'Y2 Ho4 Ga4'
_space_group_name_H-M_alt 'C 1 2/m 1'
_space_group_IT_number 12
_cell_length_a 12.381
_cell_length_b 3.683
_cell_length_c 5.855
_cell_angle_alpha 90.00
_cell_angle_beta 102.56
_cell_angle_gamma 90.00
loop_
_space_group_symop_operation_xyz
'x,y,z'
'-x,-y,-z'
'-x,y,-z'
'x,-y,z'
'x+1/2,y+1/2,z'
'-x+1/2,-y+1/2,-z'
'-x+1/2,y+1/2,-z'
'x+1/2,-y+1/2,z'
loop_
_atom_site_label
_atom_site_fract_x
_atom_site_fract_y
_atom_site_fract_z
Y1 0.000 0.000 0.000
Ho1 0.138 0.500 0.571
Ga1 0.203 0.500 0.114
```

***

Crystalline Y2HoGa at its relaxed geometry, computed with PBE.

Computed properties:
Volume, Å³ per cell: 105.9
Energy relative to the lowest polymorph listed for this composition, eV/f.u.: 0.25
ΔE_f, kcal/mol of atoms: -5.5
Calculated density, g/cm³: 6.47

Geometry as CIF:
```
data_Y2HoGa
_chemical_formula_sum 'Y2 Ho1 Ga1'
_space_group_name_H-M_alt 'P 4/m m m'
_space_group_IT_number 123
_space_group_name_Hall '-P 4 2'
_cell_length_a 4.740
_cell_length_b 4.740
_cell_length_c 4.714
_cell_angle_alpha 90.00
_cell_angle_beta 90.00
_cell_angle_gamma 90.00
loop_
_atom_site_label
_atom_site_fract_x
_atom_site_fract_y
_atom_site_fract_z
Y1 0.000 0.500 0.000
Ho1 0.000 0.000 0.500
Ga1 0.500 0.500 0.500
```

***

Crystalline Y3HoGa2 at its relaxed geometry, computed with PBE.

Computed properties:
Volume, Å³ per cell: 713.0
Energy relative to the lowest polymorph listed for this composition, eV/f.u.: 1.32
ΔE_f, kcal/mol of atoms: -5.2
Calculated density, g/cm³: 5.32

Geometry as CIF:
```
data_Y3HoGa2
_chemical_formula_sum 'Y12 Ho4 Ga8'
_space_group_name_H-M_alt 'I b a m'
_space_group_IT_number 72
_space_group_name_Hall '-I 2 2c'
_cell_length_a 6.911
_cell_length_b 14.294
_cell_length_c 7.218
_cell_angle_alpha 90.00
_cell_angle_beta 90.00
_cell_angle_gamma 90.00
loop_
_atom_site_label
_atom_site_fract_x
_atom_site_fract_y
_atom_site_fract_z
Y1 0.000 0.000 0.250
Y2 0.000 0.276 0.250
Ho1 0.000 0.500 0.000
Ga1 0.202 0.136 0.000
```

***

Crystalline Y2HoGa2 at its relaxed geometry, computed with PBE.

Computed properties:
Volume, Å³ per cell: 508.8
Energy relative to the lowest polymorph listed for this composition, eV/f.u.: 0.29
ΔE_f, kcal/mol of atoms: -11.2
Calculated density, g/cm³: 6.30

Geometry as CIF:
```
data_Y2HoGa2
_chemical_formula_sum 'Y8 Ho4 Ga8'
_space_group_name_H-M_alt 'C 1 2/m 1'
_space_group_IT_number 12
_cell_length_a 11.858
_cell_length_b 4.691
_cell_length_c 10.664
_cell_angle_alpha 90.00
_cell_angle_beta 120.94
_cell_angle_gamma 90.00
loop_
_space_group_symop_operation_xyz
'x,y,z'
'-x,-y,-z'
'-x,y,-z'
'x,-y,z'
'x+1/2,y+1/2,z'
'-x+1/2,-y+1/2,-z'
'-x+1/2,y+1/2,-z'
'x+1/2,-y+1/2,z'
loop_
_atom_site_label
_atom_site_fract_x
_atom_site_fract_y
_atom_site_fract_z
Y1 0.028 0.000 0.188
Y2 0.186 0.000 0.597
Ho1 0.201 0.500 0.853
Ga1 0.054 0.500 0.417
Ga2 0.127 0.500 0.080
```

***

Crystalline YHoGa at its relaxed geometry, computed with PBE.

Computed properties:
Volume, Å³ per cell: 344.7
Energy relative to the lowest polymorph listed for this composition, eV/f.u.: 0.45
ΔE_f, kcal/mol of atoms: -6.1
Calculated density, g/cm³: 6.23

Geometry as CIF:
```
data_YHoGa
_chemical_formula_sum 'Y4 Ho4 Ga4'
_space_group_name_H-M_alt 'F -4 3 m'
_space_group_IT_number 216
_space_group_name_Hall 'F -4 2 3'
_cell_length_a 7.012
_cell_length_b 7.012
_cell_length_c 7.012
_cell_angle_alpha 90.00
_cell_angle_beta 90.00
_cell_angle_gamma 90.00
loop_
_atom_site_label
_atom_site_fract_x
_atom_site_fract_y
_atom_site_fract_z
Y1 0.000 0.000 0.000
Ho1 0.000 0.000 0.500
Ga1 0.250 0.250 0.250
```

***

Crystalline Y2HoGa at its relaxed geometry, computed with PBE.

Computed properties:
Volume, Å³ per cell: 110.8
Energy relative to the lowest polymorph listed for this composition, eV/f.u.: 0.06
ΔE_f, kcal/mol of atoms: -6.6
Calculated density, g/cm³: 6.18

Geometry as CIF:
```
data_Y2HoGa
_chemical_formula_sum 'Y2 Ho1 Ga1'
_space_group_name_H-M_alt 'P 4/m m m'
_space_group_IT_number 123
_space_group_name_Hall '-P 4 2'
_cell_length_a 3.525
_cell_length_b 3.525
_cell_length_c 8.921
_cell_angle_alpha 90.00
_cell_angle_beta 90.00
_cell_angle_gamma 90.00
loop_
_atom_site_label
_atom_site_fract_x
_atom_site_fract_y
_atom_site_fract_z
Y1 0.000 0.000 0.209
Ho1 0.500 0.500 0.500
Ga1 0.500 0.500 0.000
```

***

Crystalline Y3Ho3Ga4 at its relaxed geometry, computed with PBE.

Computed properties:
Volume, Å³ per cell: 504.7
ΔE_f, kcal/mol of atoms: -12.4
Calculated density, g/cm³: 6.85

Geometry as CIF:
```
data_Y3Ho3Ga4
_chemical_formula_sum 'Y6 Ho6 Ga8'
_space_group_name_H-M_alt 'A m m 2'
_space_group_IT_number 38
_cell_length_a 4.307
_cell_length_b 10.829
_cell_length_c 10.822
_cell_angle_alpha 90.00
_cell_angle_beta 90.00
_cell_angle_gamma 90.00
loop_
_space_group_symop_operation_xyz
'x,y,z'
'-x,-y,z'
'-x,y,z'
'x,-y,z'
'x,y+1/2,z+1/2'
'-x,-y+1/2,z+1/2'
'-x,y+1/2,z+1/2'
'x,-y+1/2,z+1/2'
loop_
_atom_site_label
_atom_site_fract_x
_atom_site_fract_y
_atom_site_fract_z
Y1 0.000 0.000 0.000
Y2 0.000 0.175 0.675
Ho1 0.000 0.000 0.349
Ho2 0.500 0.249 0.425
Ga1 0.500 0.000 0.554
Ga2 0.500 0.000 0.795
Ga3 0.500 0.120 0.175
```

***

Crystalline YHoGa3 at its relaxed geometry, computed with PBE.

Computed properties:
Volume, Å³ per cell: 444.2
ΔE_f, kcal/mol of atoms: -15.0
Calculated density, g/cm³: 6.92

Geometry as CIF:
```
data_YHoGa3
_chemical_formula_sum 'Y4 Ho4 Ga12'
_space_group_name_H-M_alt 'C m c m'
_space_group_IT_number 63
_space_group_name_Hall '-C 2c 2'
_cell_length_a 4.175
_cell_length_b 25.562
_cell_length_c 4.162
_cell_angle_alpha 90.00
_cell_angle_beta 90.00
_cell_angle_gamma 90.00
loop_
_atom_site_label
_atom_site_fract_x
_atom_site_fract_y
_atom_site_fract_z
Y1 0.000 0.073 0.250
Ho1 0.000 0.204 0.750
Ga1 0.000 0.324 0.750
Ga2 0.000 0.380 0.250
Ga3 0.000 0.476 0.250
```

***

Crystalline YHo3Ga2 at its relaxed geometry, computed with PBE.

Computed properties:
Volume, Å³ per cell: 306.2
Energy relative to the lowest polymorph listed for this composition, eV/f.u.: 0.00
ΔE_f, kcal/mol of atoms: -10.0
Calculated density, g/cm³: 7.84

Geometry as CIF:
```
data_YHo3Ga2
_chemical_formula_sum 'Y2 Ho6 Ga4'
_space_group_name_H-M_alt 'P m c 21'
_space_group_IT_number 26
_cell_length_a 4.911
_cell_length_b 9.424
_cell_length_c 6.616
_cell_angle_alpha 90.00
_cell_angle_beta 90.00
_cell_angle_gamma 90.00
loop_
_space_group_symop_operation_xyz
'x,y,z'
'-x,-y,z+1/2'
'-x,y,z'
'x,-y,z+1/2'
loop_
_atom_site_label
_atom_site_fract_x
_atom_site_fract_y
_atom_site_fract_z
Y1 0.000 0.051 0.000
Ho1 0.000 0.320 0.635
Ho2 0.500 0.182 0.294
Ho3 0.500 0.449 0.928
Ga1 0.000 0.361 0.175
Ga2 0.500 0.139 0.751
```

***

no.,total energy (Ry/atom)
1,-0.3927
2,-0.4039
3,-0.3864
4,-0.3470
5,-0.3947
6,-0.3843
7,-0.3821
8,-0.3642
9,-0.3982
10,-0.3721
11,-0.3435
12,-0.3536